# PmNiAs2O8

Crystalline PmNiAs2O8 at its relaxed geometry (PBE with a Hubbard U, the Alexandria database).

Calculated values
The crystal system is tetragonal. The space group is I-4m2, No. 119. For the uncorrected energy, the calculation gives -6.122 eV/atom.

```
PmNiAs2O8
1.0
-3.576 3.576 3.111
3.576 -3.576 3.111
3.576 3.576 -3.111
Pm Ni As O
1 1 2 8
Direct
0.000 0.000 0.000
0.250 0.750 0.500
0.500 0.500 0.000
0.750 0.250 0.500
0.324 0.137 0.813
0.324 0.510 0.187
0.385 0.059 0.327
0.490 0.676 0.813
0.732 0.059 0.673
0.863 0.676 0.187
0.941 0.268 0.327
0.941 0.615 0.673
```